Here is a relaxed structure of LiP2Os from Alexandria. Energies are from PBE.

Cell and atoms, written as extended XYZ:
```
8
Lattice="5.757 0.000 0.000 0.000 5.757 0.000 2.879 2.879 5.170" Properties=species:S:1:pos:R:3 pbc="T T T"
P 4.640 1.439 1.293
P 1.118 4.318 1.293
P 4.318 3.996 3.878
P 7.197 7.518 3.878
Os 0.000 0.000 0.000
Os 5.757 2.879 2.585
Li 2.879 2.879 0.000
Li 2.879 5.757 2.585
```

Computed properties:
- spin magnetization (Bohr magnetons per cell) = 0.00
- formation energy (eV per atom) = -0.10
- density (Mg/m³) = 5.0
- relative energy among the computed polymorphs (meV/atom) = 146
- electronic total energy (eV per atom) = -6.09
- volume (Å³/cell) = 171


Here is a relaxed structure of SrLa2Cd2 from Alexandria. Energies are from PBE.

Cell and atoms, written as extended XYZ:
```
10
Lattice="9.379 0.000 0.000 0.000 9.379 0.000 0.000 0.000 3.885" Properties=species:S:1:pos:R:3 pbc="T T T"
Sr 0.000 0.000 0.000
Sr 4.689 4.689 0.000
Cd 3.485 8.174 0.000
Cd 8.174 5.894 0.000
Cd 5.894 1.205 0.000
Cd 1.205 3.485 0.000
La 1.544 6.233 1.942
La 6.233 7.835 1.942
La 7.835 3.146 1.942
La 3.146 1.544 1.942
```

Computed properties:
- spin magnetization (Bohr magnetons per cell) = 1.02
- formation energy (eV per atom) = -0.20
- density (Mg/m³) = 5.7
- relative energy among the computed polymorphs (meV/atom) = 36
- electronic total energy (eV per atom) = -2.88
- volume (Å³/cell) = 342


Here is a relaxed structure of Ac4SmY5 from Alexandria. Energies are from PBE.

Cell and atoms, written as extended XYZ:
```
10
Lattice="-0.769 0.442 3.724 -3.319 -1.852 -0.466 11.535 -21.923 4.985" Properties=species:S:1:pos:R:3 pbc="T T T"
Ac 2.252 -4.279 0.973
Ac 4.596 -8.736 1.986
Ac 6.939 -13.188 2.998
Ac 9.284 -17.644 4.012
Sm 0.000 0.000 0.000
Y -0.978 -2.732 2.090
Y 1.377 -7.206 3.108
Y 3.724 -11.667 4.122
Y 6.070 -16.127 5.136
Y 8.425 -20.601 6.153
```

Computed properties:
- spin magnetization (Bohr magnetons per cell) = 0.00
- formation energy (eV per atom) = 0.05
- density (Mg/m³) = 6.7
- electronic total energy (eV per atom) = -5.30
- volume (Å³/cell) = 370


Here is a relaxed structure of K2RbCa2Cl7 from Alexandria. Energies are from PBE.

Cell and atoms, written as extended XYZ:
```
12
Lattice="-5.344 -0.830 0.050 0.070 -0.240 5.403 -4.723 12.642 3.384" Properties=species:S:1:pos:R:3 pbc="T T T"
K -5.839 3.801 5.487
K -4.158 7.773 3.349
Rb 0.000 0.000 0.000
Ca -6.953 9.392 5.998
Ca -3.044 2.181 2.839
Cl -2.637 -0.535 2.727
Cl -3.583 4.788 3.096
Cl -6.415 6.785 5.740
Cl -5.708 1.684 2.840
Cl -2.977 1.981 5.541
Cl -7.021 9.592 3.296
Cl -4.289 9.890 5.997
```

Computed properties:
- spin magnetization (Bohr magnetons per cell) = 0.00
- formation energy without anion corrections (eV per atom) = -2.174
- density (Mg/m³) = 2.1
- electronic total energy (eV per atom) = -3.85
- volume (Å³/cell) = 391


Here is a relaxed structure of Cr5Sb3Se12 from Alexandria. Energies are from PBE.

Cell and atoms, written as extended XYZ:
```
80
Lattice="-6.012 6.108 -10.616 11.339 -6.314 -4.210 -8.550 -9.144 5.426" Properties=species:S:1:pos:R:3 pbc="T T T"
Sb -1.326 1.070 -8.862
Sb 2.175 -0.534 -11.768
Sb 0.906 -8.160 -3.747
Sb -3.292 -2.691 -1.145
Sb -5.981 2.270 -8.459
Sb 2.695 -3.942 -5.255
Sb -5.918 -5.408 -4.144
Sb 2.757 -11.620 -0.941
Sb 0.068 -6.659 -8.254
Sb -4.129 -1.190 -5.653
Sb -5.398 -8.816 2.369
Sb -1.898 -10.420 -0.537
Cr 1.363 -3.890 -1.549
Cr 5.669 -3.157 -2.105
Cr 0.000 0.000 0.000
Cr -0.489 -0.431 -4.355
Cr -7.281 -1.518 -2.595
Cr 2.663 -0.103 -7.413
Cr 4.546 -7.401 -2.449
Cr -10.573 -4.209 -3.740
Cr -0.629 -2.794 -8.558
Cr -7.250 -5.357 -0.437
Cr 4.026 -3.993 -8.962
Cr -1.612 -4.675 -4.700
Cr -3.006 3.054 -5.308
Cr -4.275 -4.572 2.713
Cr -2.595 -6.556 -0.841
Cr 7.350 -5.141 -5.659
Cr 1.394 -7.729 0.608
Cr -7.770 -1.949 -6.950
Cr -2.735 -8.919 -5.044
Cr -4.587 -5.460 -7.850
Se -3.069 3.263 -7.854
Se 0.593 -5.053 -3.464
Se -4.107 0.866 -10.297
Se -1.915 0.795 -5.795
Se -1.284 -7.093 -5.458
Se -0.594 0.555 -11.868
Se 3.486 -6.882 -4.502
Se 8.784 -6.355 -4.217
Se 1.648 -8.683 -6.748
Se 0.833 -0.976 -8.968
Se -2.642 -1.558 -8.389
Se 5.058 -0.936 -12.391
Se 2.729 -8.521 -1.422
Se 1.631 -0.992 -5.250
Se 6.552 -8.650 -2.621
Se -6.210 -3.675 -1.741
Se -0.232 -2.498 -0.487
Se 4.014 -2.271 -7.336
Se 2.953 -3.475 -11.009
Se 3.186 -2.769 -2.564
Se 1.963 -11.112 -3.765
Se -0.091 -4.136 -6.682
Se -0.615 -4.507 -10.194
Se -8.977 -5.592 -4.812
Se -3.132 -5.214 -2.718
Se -2.609 -4.843 0.795
Se 5.753 -3.758 -4.587
Se -6.177 -5.875 1.609
Se -5.187 1.762 -5.635
Se -6.409 -6.581 -6.836
Se -7.238 -7.079 -2.063
Se 2.986 -5.675 -7.658
Se -2.992 -6.852 -8.912
Se -9.775 -0.700 -6.778
Se -5.953 -0.829 -7.978
Se -8.281 -8.414 2.992
Se -4.855 -8.358 -4.149
Se -4.872 -0.667 -2.651
Se -4.057 -8.374 -0.431
Se -0.582 -7.792 -1.011
Se -12.007 -2.995 -5.182
Se -6.709 -2.468 -4.897
Se -1.309 -10.145 -3.605
Se -2.630 -9.905 2.469
Se -1.940 -2.257 -3.941
Se 0.883 -10.216 0.898
Se -3.817 -4.297 -5.936
Se -0.155 -12.613 -1.545
```

Computed properties:
- spin magnetization (Bohr magnetons per cell) = 60.02
- formation energy without anion corrections (eV per atom) = -0.246
- density (Mg/m³) = 5.3
- electronic total energy (eV per atom) = -5.36
- volume (Å³/cell) = 1955


Here is a relaxed structure of CdGaBiRh2 from Alexandria. Energies are from PBE.

Cell and atoms, written as extended XYZ:
```
5
Lattice="5.047 0.000 0.000 0.000 5.598 0.000 0.000 0.000 5.047" Properties=species:S:1:pos:R:3 pbc="T T T"
Rh 0.000 0.000 2.524
Rh 2.524 0.000 0.000
Bi 0.000 0.000 0.000
Ga 2.524 2.799 2.524
Cd 0.000 2.799 0.000
```

Computed properties:
- spin magnetization (Bohr magnetons per cell) = 0.00
- formation energy (eV per atom) = 0.97
- density (Mg/m³) = 7.0
- electronic total energy (eV per atom) = -3.54
- volume (Å³/cell) = 143


Here is a relaxed structure of DyU4O10 from Alexandria. Energies are from PBE.

Cell and atoms, written as extended XYZ:
```
15
Lattice="4.918 0.000 2.221 2.459 6.033 1.110 -0.024 0.000 6.609" Properties=species:S:1:pos:R:3 pbc="T T T"
Dy 0.000 0.000 0.000
U 3.925 4.839 4.421
U 5.386 3.619 7.742
U 1.968 2.414 2.198
U 3.429 1.193 5.519
O 2.447 3.016 4.415
O 3.908 1.831 7.702
O 0.489 0.621 2.230
O 4.432 5.412 6.611
O 5.879 4.202 3.336
O 3.446 4.202 2.238
O 4.906 3.016 5.525
O 1.474 1.831 6.604
O 2.922 0.621 3.329
O 6.865 5.412 7.710
```

Computed properties:
- spin magnetization (Bohr magnetons per cell) = 7.00
- formation energy without anion corrections (eV per atom) = -3.370
- density (Mg/m³) = 10.8
- electronic total energy (eV per atom) = -9.99
- volume (Å³/cell) = 196


Here is a relaxed structure of TiGeMo from Alexandria. Energies are from PBE.

Cell and atoms, written as extended XYZ:
```
12
Lattice="-0.817 2.197 3.902 -0.655 -6.003 3.243 6.711 0.020 1.394" Properties=species:S:1:pos:R:3 pbc="T T T"
Ti 2.690 -3.617 5.254
Ti 4.981 -2.755 2.594
Ti 1.075 -3.228 2.043
Ti 2.550 -0.170 3.284
Ge 0.070 -0.929 3.193
Ge 1.682 -5.370 3.376
Ge 4.375 -0.613 1.261
Ge 5.169 -2.858 5.346
Mo 0.162 -4.467 5.204
Mo 5.077 0.681 3.335
Mo 0.371 -1.053 0.670
Mo 5.685 -4.930 3.966
```

Computed properties:
- spin magnetization (Bohr magnetons per cell) = 0.00
- formation energy (eV per atom) = -0.06
- density (Mg/m³) = 6.7
- electronic total energy (eV per atom) = -7.84
- volume (Å³/cell) = 214


What is the spin magnetization in the fourth record?
0.00 Bohr magnetons per cell


Among the records above, which one has the highest volume?
Cr5Sb3Se12